# 1
A plane-wave DFT calculation with PBE was carried out for a geometry-optimized RbNa2Hg6 structure.

Cell: 3.5565 9.2454 9.2454 Å, 120.00 90.00 90.00°
Last column: nearest neighbours and their distance in Å.
Positions (direct):
Rb: 0.0000 0.0000 0.0000  2 Rb 3.56, 12 Hg 3.62
Na: 0.0000 0.3333 0.6667  12 Hg 3.53, 2 Na 3.56
Na: 0.0000 0.6667 0.3333  12 Hg 3.53, 2 Na 3.56
Hg: 0.5000 0.3406 0.3406  3 Hg 2.95-3.15
Hg: 0.5000 0.6594 0.6594  3 Hg 2.95-3.15
Hg: 0.5000 0.0000 0.6594  3 Hg 2.95-3.15
Hg: 0.5000 0.6594 0.0000  3 Hg 2.95-3.15
Hg: 0.5000 0.3406 0.0000  3 Hg 2.95-3.15
Hg: 0.5000 0.0000 0.3406  3 Hg 2.95-3.15

Values from the calculation:
offset from the most stable computed form: 0.00 eV per formula unit
crystal system: hexagonal
E_form: -4.7 kcal/mol of atoms
volume: 263.3 Å³ per cell

---

# 2
A plane-wave DFT calculation with PBE was carried out for a geometry-optimized Rb12NaHg6 structure.

Cell: 11.2685 11.2685 11.2685 Å, 109.47 109.47 109.47°
Last column: nearest neighbours and their distance in Å.
Positions (direct):
Rb: 0.3003 0.1154 0.8151  3 Hg 3.68-3.84
Rb: 0.3003 0.4852 0.1849  3 Hg 3.68-3.84
Rb: 0.6997 0.5148 0.8151  3 Hg 3.68-3.84
Rb: 0.6997 0.8846 0.1849  3 Hg 3.68-3.84
Rb: 0.1154 0.8151 0.3003  3 Hg 3.68-3.84
Rb: 0.4852 0.1849 0.3003  3 Hg 3.68-3.84
Rb: 0.5148 0.8151 0.6997  3 Hg 3.68-3.84
Rb: 0.8846 0.1849 0.6997  3 Hg 3.68-3.84
Rb: 0.8151 0.3003 0.1154  3 Hg 3.68-3.84
Rb: 0.1849 0.3003 0.4852  3 Hg 3.68-3.84
Rb: 0.8151 0.6997 0.5148  3 Hg 3.68-3.84
Rb: 0.1849 0.6997 0.8846  3 Hg 3.68-3.84
Na: 0.0000 0.0000 0.0000  12 Rb 4.59
Hg: 0.3849 0.5000 0.8849  1 Hg 2.99
Hg: 0.6151 0.5000 0.1151  1 Hg 2.99
Hg: 0.5000 0.8849 0.3849  1 Hg 2.99
Hg: 0.5000 0.1151 0.6151  1 Hg 2.99
Hg: 0.8849 0.3849 0.5000  1 Hg 2.99
Hg: 0.1151 0.6151 0.5000  1 Hg 2.99

Values from the calculation:
crystal system: cubic
E_form: -3.2 kcal/mol of atoms
volume: 1101.5 Å³ per cell

---

# 3
A plane-wave DFT calculation with PBE was carried out for a geometry-optimized RbNa7Hg2 structure.

Cell: 6.0351 8.7909 8.7910 Å, 112.49 90.00 90.00°
Last column: nearest neighbours and their distance in Å.
Positions (direct):
Rb: 0.0000 0.0000 0.0000  8 Na 4.10
Na: 0.0000 0.6655 0.3345  2 Hg 3.09
Na: 0.0000 0.3345 0.6655  2 Hg 3.09
Na: 0.5000 0.0727 0.3361  2 Hg 3.05-3.11
Na: 0.5000 0.9273 0.6639  2 Hg 3.05-3.11
Na: 0.5000 0.3361 0.0727  2 Hg 3.05-3.11
Na: 0.5000 0.6639 0.9273  2 Hg 3.05-3.11
Na: 0.5000 0.5000 0.5000  2 Hg 3.08
Hg: 0.5000 0.7106 0.2894  7 Na 3.05-3.11
Hg: 0.5000 0.2894 0.7106  7 Na 3.05-3.11

Values from the calculation:
crystal system: orthorhombic
E_form: -0.6 kcal/mol of atoms
volume: 430.9 Å³ per cell

---

# 4
A plane-wave DFT calculation with PBE was carried out for a geometry-optimized Rb2Na17Hg3 structure.

Cell: 9.6552 9.6552 9.6552 Å, 83.52 83.52 83.52°
Last column: nearest neighbours and their distance in Å.
Positions (direct):
Rb: 0.3397 0.3397 0.3397  3 Hg 3.71
Rb: 0.6603 0.6603 0.6603  3 Hg 3.71
Na: 0.5000 0.0000 0.0000  10 Na 3.61-3.90
Na: 0.0000 0.0000 0.5000  10 Na 3.61-3.90
Na: 0.0000 0.5000 0.0000  10 Na 3.61-3.90
Na: 0.0000 0.7362 0.2638  1 Hg 3.04, 2 Na 3.39
Na: 0.7362 0.2638 0.0000  1 Hg 3.04, 2 Na 3.39
Na: 0.2638 0.0000 0.7362  1 Hg 3.04, 2 Na 3.39
Na: 0.2638 0.7362 0.0000  1 Hg 3.04, 2 Na 3.39
Na: 0.7362 0.0000 0.2638  1 Hg 3.04, 2 Na 3.39
Na: 0.0000 0.2638 0.7362  1 Hg 3.04, 2 Na 3.39
Na: 0.1727 0.6645 0.6645  1 Hg 3.10
Na: 0.6645 0.6645 0.1727  1 Hg 3.10
Na: 0.6645 0.1727 0.6645  1 Hg 3.10
Na: 0.8273 0.3355 0.3355  1 Hg 3.10
Na: 0.3355 0.3355 0.8273  1 Hg 3.10
Na: 0.3355 0.8273 0.3355  1 Hg 3.10
Na: 0.1017 0.1017 0.1017  13 Na 3.76-3.96
Na: 0.8983 0.8983 0.8983  13 Na 3.76-3.96
Hg: 0.0000 0.5000 0.5000  4 Na 3.04-3.10
Hg: 0.5000 0.5000 0.0000  4 Na 3.04-3.10
Hg: 0.5000 0.0000 0.5000  4 Na 3.04-3.10

Values from the calculation:
crystal system: trigonal
E_form: -0.5 kcal/mol of atoms
volume: 884.0 Å³ per cell

---

# 5
A plane-wave DFT calculation with PBE was carried out for a geometry-optimized RbNa5Hg4 structure.

Cell: 3.9381 3.9381 20.2685 Å, 90.00 90.00 90.00°
Last column: nearest neighbours and their distance in Å.
Positions (direct):
Rb: 0.0000 0.0000 0.0000  4 Rb 3.94, 8 Na 4.29
Na: 0.5000 0.5000 0.1610  4 Hg 3.25, 1 Na 3.40
Na: 0.5000 0.5000 0.3290  8 Hg 3.27-3.28, 2 Na 3.40-3.47
Na: 0.5000 0.5000 0.5000  8 Hg 3.28, 2 Na 3.47
Na: 0.5000 0.5000 0.6710  8 Hg 3.27-3.28, 2 Na 3.40-3.47
Na: 0.5000 0.5000 0.8390  4 Hg 3.25, 1 Na 3.40
Hg: 0.0000 0.0000 0.2439  8 Na 3.25-3.27, 1 Hg 3.46
Hg: 0.0000 0.0000 0.4145  8 Na 3.28, 2 Hg 3.46-3.47
Hg: 0.0000 0.0000 0.5855  8 Na 3.28, 2 Hg 3.46-3.47
Hg: 0.0000 0.0000 0.7561  8 Na 3.25-3.27, 1 Hg 3.46

Values from the calculation:
crystal system: tetragonal
E_form: -4.0 kcal/mol of atoms
volume: 314.3 Å³ per cell

---

# 6
A plane-wave DFT calculation with PBE was carried out for a geometry-optimized Rb2NaHg2 structure.

Cell: 5.9582 5.9582 8.1599 Å, 68.59 68.59 90.00°
Last column: nearest neighbours and their distance in Å.
Positions (direct):
Na: 0.0000 0.0000 0.0000  8 Hg 4.45, 8 Rb 4.59
Hg: 0.3968 0.3968 0.2064  1 Hg 2.88
Hg: 0.6032 0.6032 0.7936  1 Hg 2.88
Rb: 0.7500 0.2500 0.5000  4 Hg 3.62
Rb: 0.2500 0.7500 0.5000  4 Hg 3.62

Values from the calculation:
offset from the most stable computed form: 0.69 eV per formula unit
crystal system: tetragonal
E_form: -1.3 kcal/mol of atoms
volume: 248.1 Å³ per cell